# PBE-GGA Ca5P6Pd6, relaxed
data_Ca5P6Pd6
_symmetry_space_group_name_H-M 'P m m a'
_symmetry_Int_Tables_number 51
_cell_length_a 8.2272
_cell_length_b 4.1113
_cell_length_c 19.2176
_cell_angle_alpha 90.00
_cell_angle_beta 90.00
_cell_angle_gamma 90.00
loop_
_symmetry_equiv_pos_as_xyz
'x,y,z'
'-x,-y,-z'
'-x+1/2,-y,z'
'x+1/2,y,-z'
'x+1/2,-y,-z'
'-x+1/2,y,z'
'-x,y,-z'
'x,-y,z'
loop_
_atom_site_label
_atom_site_fract_x
_atom_site_fract_y
_atom_site_fract_z
Ca1 0.0000 0.0000 0.0000
Ca2 0.0017 0.0000 0.3706
Ca3 0.0086 0.5000 0.1820
P1 0.2500 0.0000 0.2446
P2 0.2500 0.0000 0.7581
P3 0.2500 0.0000 0.8731
P4 0.2500 0.5000 0.0574
P5 0.2500 0.5000 0.4276
P6 0.2500 0.5000 0.5763
Pd1 0.0000 0.5000 0.5000
Pd2 0.2500 0.0000 0.1204
Pd3 0.2500 0.0000 0.5019
Pd4 0.2500 0.5000 0.3060
Pd5 0.2500 0.5000 0.6994
Pd6 0.2500 0.5000 0.9325
# Total magnetization (μB per formula unit): 0.00
# Energy relative to the elements (meV/atom): -979
# Fermi-level density of states (states/eV per atom): 0.462

---

# PBE-GGA NiAg2GeS4, relaxed
data_NiAg2GeS4
_symmetry_space_group_name_H-M 'I -4'
_symmetry_Int_Tables_number 82
_cell_length_a 5.6610
_cell_length_b 5.6610
_cell_length_c 10.5694
_cell_angle_alpha 90.00
_cell_angle_beta 90.00
_cell_angle_gamma 90.00
loop_
_symmetry_equiv_pos_as_xyz
'x,y,z'
'y,-x,-z'
'-x,-y,z'
'-y,x,-z'
'x+1/2,y+1/2,z+1/2'
'y+1/2,-x+1/2,-z+1/2'
'-x+1/2,-y+1/2,z+1/2'
'-y+1/2,x+1/2,-z+1/2'
loop_
_atom_site_label
_atom_site_fract_x
_atom_site_fract_y
_atom_site_fract_z
Ni1 0.0000 0.0000 0.0000
Ag1 0.0000 0.0000 0.5000
Ag2 0.0000 0.5000 0.2500
Ge1 0.0000 0.5000 0.7500
S1 0.2054 0.2477 0.8778
# Total magnetization (μB per formula unit): 1.88
# Energy relative to the elements, uncorrected (eV/atom): -0.206
# Fermi-level density of states (states/eV per atom): 0.566

---

# PBE-GGA Dy3Mg12Ag, relaxed
data_Dy3Mg12Ag
_symmetry_space_group_name_H-M 'P 4/m m m'
_symmetry_Int_Tables_number 123
_symmetry_space_group_name_Hall '-P 4 2'
_cell_length_a 4.6312
_cell_length_b 4.6312
_cell_length_c 17.9395
_cell_angle_alpha 90.00
_cell_angle_beta 90.00
_cell_angle_gamma 90.00
loop_
_atom_site_label
_atom_site_fract_x
_atom_site_fract_y
_atom_site_fract_z
Dy1 0.0000 0.0000 0.0000
Dy2 0.0000 0.0000 0.2657
Mg1 0.0000 0.5000 0.1333
Mg2 0.0000 0.5000 0.3948
Mg3 0.5000 0.5000 0.0000
Mg4 0.5000 0.5000 0.2698
Mg5 0.5000 0.5000 0.5000
Ag1 0.0000 0.0000 0.5000
# Total magnetization (μB per formula unit): 0.00
# Energy relative to the elements (meV/atom): -71
# Fermi-level density of states (states/eV per atom): 0.599

---

> Look up the Fermi-level density of states of the first one.

0.462 states/eV per atom